# 1
Compound: NaAc2VO5
Source: Alexandria
Functional: GGA+U
Structure: relaxed

abc: 7.2343 7.2343 5.8008
angles: 90.00 90.00 90.00
Sites, in units of the cell vectors:
Na1 0.0000 0.0000 0.0000
Na2 0.5000 0.5000 0.0000
Ac1 0.1815 0.3185 0.5000
Ac2 0.3185 0.8185 0.5000
Ac3 0.6815 0.1815 0.5000
Ac4 0.8185 0.6815 0.5000
V1 0.0000 0.5000 0.0000
V2 0.5000 0.0000 0.0000
O1 0.0000 0.0000 0.5000
O2 0.1261 0.6261 0.2355
O3 0.1261 0.6261 0.7645
O4 0.3739 0.1261 0.2355
O5 0.3739 0.1261 0.7645
O6 0.5000 0.5000 0.5000
O7 0.6261 0.8739 0.2355
O8 0.6261 0.8739 0.7645
O9 0.8739 0.3739 0.2355
O10 0.8739 0.3739 0.7645

Computed properties:
Symmetry ... P4/mbm, No. 127
Magnetic moment ... 0.00 μB/atom
Raw total energy ... -7.15 eV/atom
Crystal system ... tetragonal


# 2
Compound: Na2Ac2VO6
Source: Alexandria
Functional: GGA+U
Structure: relaxed

abc: 6.1855 6.1855 5.8427
angles: 95.23 95.23 119.29
Sites, in units of the cell vectors:
Na1 0.1275 0.8725 0.0000
Na2 0.8725 0.1275 0.0000
Ac1 0.3366 0.6634 0.5000
Ac2 0.6634 0.3366 0.5000
V1 0.0000 0.0000 0.5000
O1 0.0272 0.3218 0.6858
O2 0.2131 0.2131 0.3033
O3 0.3218 0.0272 0.6858
O4 0.6782 0.9728 0.3142
O5 0.7869 0.7869 0.6967
O6 0.9728 0.6782 0.3142

Computed properties:
Symmetry ... C2/m, No. 12
Magnetic moment ... 0.09 μB/atom
Raw total energy ... -6.74 eV/atom
Crystal system ... monoclinic


# 3
Compound: NaAc4V3O12
Source: Alexandria
Functional: GGA+U
Structure: relaxed

abc: 6.9727 6.9727 6.9727
angles: 109.47 109.47 109.47
Sites, in units of the cell vectors:
Na1 0.0000 0.0000 0.0000
Ac1 0.0000 0.0000 0.5000
Ac2 0.0000 0.5000 0.0000
Ac3 0.5000 0.0000 0.0000
Ac4 0.5000 0.5000 0.5000
V1 0.0000 0.5000 0.5000
V2 0.5000 0.0000 0.5000
V3 0.5000 0.5000 0.0000
O1 0.0000 0.2676 0.2676
O2 0.0000 0.7324 0.7324
O3 0.2500 0.5000 0.7500
O4 0.2500 0.7500 0.5000
O5 0.2676 0.0000 0.2676
O6 0.2676 0.2676 0.0000
O7 0.5000 0.2500 0.7500
O8 0.5000 0.7500 0.2500
O9 0.7324 0.0000 0.7324
O10 0.7324 0.7324 0.0000
O11 0.7500 0.2500 0.5000
O12 0.7500 0.5000 0.2500

Computed properties:
Symmetry ... Im-3m, No. 229
Magnetic moment ... 0.20 μB/atom
Raw total energy ... -7.67 eV/atom
Crystal system ... cubic